Entry 1:
## NaTaZn2O (PBE)

Data for a geometry-optimized NaTaZn2O structure.

Calculated values
- ΔE_f (raw) (eV per atom) = 1.896
- energy above the most stable polymorph in this dataset (meV/atom) = 1504.6

The structure in CIF format:
```
data_NaTaZn2O
_chemical_formula_sum 'Na1 Ta1 Zn2 O1'
_space_group_name_H-M_alt 'P 4/m m m'
_space_group_IT_number 123
_space_group_name_Hall '-P 4 2'
_cell_length_a 4.5558
_cell_length_b 4.5558
_cell_length_c 5.3928
_cell_angle_alpha 90.00
_cell_angle_beta 90.00
_cell_angle_gamma 90.00
loop_
_atom_site_label
_atom_site_type_symbol
_atom_site_fract_x
_atom_site_fract_y
_atom_site_fract_z
Na1 Na 0.0000 0.0000 0.0000
Ta1 Ta 0.0000 0.0000 0.5000
Zn1 Zn 0.0000 0.5000 0.0000
O1 O 0.5000 0.5000 0.5000
```

***

Entry 2:
## RbMgHF2 (PBE)

Data for a geometry-optimized RbMgHF2 structure.

Calculated values
- electronic total energy (eV for the cell shown) = -20.85

The structure in CIF format:
```
data_RbMgHF2
_chemical_formula_sum 'Rb1 Mg1 H1 F2'
_space_group_name_H-M_alt 'P 4/m m m'
_space_group_IT_number 123
_space_group_name_Hall '-P 4 2'
_cell_length_a 4.1419
_cell_length_b 4.1419
_cell_length_c 4.1068
_cell_angle_alpha 90.00
_cell_angle_beta 90.00
_cell_angle_gamma 90.00
loop_
_atom_site_label
_atom_site_type_symbol
_atom_site_fract_x
_atom_site_fract_y
_atom_site_fract_z
Rb1 Rb 0.0000 0.0000 0.0000
Mg1 Mg 0.5000 0.5000 0.5000
H1 H 0.5000 0.5000 0.0000
F1 F 0.0000 0.5000 0.5000
```

***

Entry 3:
## ZnTe2SeI (PBE)

Data for a geometry-optimized ZnTe2SeI structure.

Calculated values
- ΔE_f (raw) (eV per atom) = 0.522
- energy above the most stable polymorph in this dataset (meV/atom) = 19.1

The structure in CIF format:
```
data_ZnTe2SeI
_chemical_formula_sum 'Zn1 Te2 Se1 I1'
_space_group_name_H-M_alt 'P 4/m m m'
_space_group_IT_number 123
_space_group_name_Hall '-P 4 2'
_cell_length_a 5.3818
_cell_length_b 5.3818
_cell_length_c 5.2501
_cell_angle_alpha 90.00
_cell_angle_beta 90.00
_cell_angle_gamma 90.00
loop_
_atom_site_label
_atom_site_type_symbol
_atom_site_fract_x
_atom_site_fract_y
_atom_site_fract_z
Zn1 Zn 0.0000 0.0000 0.0000
Te1 Te 0.0000 0.5000 0.0000
Se1 Se 0.5000 0.5000 0.5000
I1 I 0.0000 0.0000 0.5000
```

***

Entry 4:
## Te2AuIF (PBE)

Data for a geometry-optimized Te2AuIF structure.

Calculated values
- ΔE_f (raw) (eV per atom) = 0.187
- energy above the most stable polymorph in this dataset (meV/atom) = 0.0

The structure in CIF format:
```
data_Te2AuIF
_chemical_formula_sum 'Te2 Au1 I1 F1'
_space_group_name_H-M_alt 'P 4/m m m'
_space_group_IT_number 123
_space_group_name_Hall '-P 4 2'
_cell_length_a 4.5466
_cell_length_b 4.5466
_cell_length_c 8.0552
_cell_angle_alpha 90.00
_cell_angle_beta 90.00
_cell_angle_gamma 90.00
loop_
_atom_site_label
_atom_site_type_symbol
_atom_site_fract_x
_atom_site_fract_y
_atom_site_fract_z
Te1 Te 0.0000 0.5000 0.0000
Au1 Au 0.0000 0.0000 0.5000
I1 I 0.5000 0.5000 0.5000
F1 F 0.5000 0.5000 0.0000
```

***

Entry 5:
## BW (PBE)

Data for a geometry-optimized BW structure.

Calculated values
- energy of formation (eV/atom) = -0.185
- energy above the most stable polymorph in this dataset (meV/atom) = 184.1

The structure in CIF format:
```
data_BW
_chemical_formula_sum 'B6 W6'
_space_group_name_H-M_alt 'A m m 2'
_space_group_IT_number 38
_space_group_name_Hall 'A 2 -2'
_cell_length_a 3.0514
_cell_length_b 7.4647
_cell_length_c 5.7310
_cell_angle_alpha 90.00
_cell_angle_beta 90.00
_cell_angle_gamma 90.00
loop_
_atom_site_label
_atom_site_type_symbol
_atom_site_fract_x
_atom_site_fract_y
_atom_site_fract_z
B1 B 0.0000 0.0000 0.0000
B2 B 0.5000 0.1560 0.9603
W1 W 0.0000 0.1897 0.6735
W2 W 0.5000 0.0000 0.3205
```

***

Entry 6:
## LaPr4Dy5 (PBE)

Data for a geometry-optimized LaPr4Dy5 structure.

Calculated values
- energy of formation (eV/atom) = 0.018

The structure in CIF format:
```
data_LaPr4Dy5
_chemical_formula_sum 'La1 Pr4 Dy5'
_space_group_name_H-M_alt 'P 4/m m m'
_space_group_IT_number 123
_space_group_name_Hall '-P 4 2'
_cell_length_a 3.6594
_cell_length_b 3.6594
_cell_length_c 25.3384
_cell_angle_alpha 90.00
_cell_angle_beta 90.00
_cell_angle_gamma 90.00
loop_
_atom_site_label
_atom_site_type_symbol
_atom_site_fract_x
_atom_site_fract_y
_atom_site_fract_z
La1 La 0.0000 0.0000 0.0000
Pr1 Pr 0.0000 0.0000 0.2001
Pr2 Pr 0.0000 0.0000 0.4000
Dy1 Dy 0.5000 0.5000 0.1006
Dy2 Dy 0.5000 0.5000 0.3001
Dy3 Dy 0.5000 0.5000 0.5000
```